Record 1
The following is a GGA-PBE calculation of a relaxed Be2TlH6 crystal, from Alexandria via LeMat-Bulk.

Geometry as CIF:
```
data_Be2TlH6
_symmetry_space_group_name_H-M 'F m -3 m'
_symmetry_Int_Tables_number 225
_symmetry_space_group_name_Hall '-F 4 2 3'
_cell_length_a 6.4676
_cell_length_b 6.4676
_cell_length_c 6.4676
_cell_angle_alpha 90.00
_cell_angle_beta 90.00
_cell_angle_gamma 90.00
loop_
_atom_site_label
_atom_site_type_symbol
_atom_site_fract_x
_atom_site_fract_y
_atom_site_fract_z
Be1 Be 0.2500 0.2500 0.2500
Tl1 Tl 0.0000 0.0000 0.0000
H1 H 0.0000 0.0000 0.3462
```

Properties
- Crystal system: cubic
- DOS at the Fermi energy: 1.20 states/eV/f.u.
- Size of the total moment: 0.000 Bohr magnetons per cell
- Energy: -2.2116 eV per atom

---

Record 2
The following is a GGA-PBE calculation of a relaxed CrH2S crystal, from Alexandria via LeMat-Bulk.

Geometry as CIF:
```
data_CrH2S
_symmetry_space_group_name_H-M 'I 41/a m d'
_symmetry_Int_Tables_number 141
_cell_length_a 3.3661
_cell_length_b 3.3661
_cell_length_c 13.2408
_cell_angle_alpha 90.00
_cell_angle_beta 90.00
_cell_angle_gamma 90.00
loop_
_symmetry_equiv_pos_as_xyz
'x,y,z'
'-x,-y,-z'
'-y+1/4,x+3/4,z+1/4'
'y+1/4,-x+3/4,-z+1/4'
'-x+1/2,-y,z+1/2'
'x+1/2,y,-z+1/2'
'y+1/4,-x+1/4,z+3/4'
'-y+1/4,x+1/4,-z+3/4'
'x,-y,-z'
'-x,y,z'
'-y+1/4,-x+1/4,-z+3/4'
'y+1/4,x+1/4,z+3/4'
'-x+1/2,y,-z+1/2'
'x+1/2,-y,z+1/2'
'y+1/4,x+3/4,-z+1/4'
'-y+1/4,-x+3/4,z+1/4'
'x+1/2,y+1/2,z+1/2'
'-x+1/2,-y+1/2,-z+1/2'
'-y+3/4,x+1/4,z+3/4'
'y+3/4,-x+1/4,-z+3/4'
'-x,-y+1/2,z'
'x,y+1/2,-z'
'y+3/4,-x+3/4,z+1/4'
'-y+3/4,x+3/4,-z+1/4'
'x+1/2,-y+1/2,-z+1/2'
'-x+1/2,y+1/2,z+1/2'
'-y+3/4,-x+3/4,-z+1/4'
'y+3/4,x+3/4,z+1/4'
'-x,y+1/2,-z'
'x,-y+1/2,z'
'y+3/4,x+1/4,-z+3/4'
'-y+3/4,-x+1/4,z+3/4'
loop_
_atom_site_label
_atom_site_type_symbol
_atom_site_fract_x
_atom_site_fract_y
_atom_site_fract_z
Cr1 Cr 0.0000 0.2500 0.3750
H1 H 0.0000 0.0000 0.5000
S1 S 0.0000 0.2500 0.8750
```

Properties
- Crystal system: tetragonal
- DOS at the Fermi energy: 1.53 states/eV/f.u.
- Size of the total moment: 8.043 Bohr magnetons per cell
- Energy: -4.8423 eV per atom

---

Record 3
The following is a GGA-PBE calculation of a relaxed LaYMo crystal, from Alexandria via LeMat-Bulk.

Geometry as CIF:
```
data_LaYMo
_symmetry_space_group_name_H-M 'I m m 2'
_symmetry_Int_Tables_number 44
_cell_length_a 3.2126
_cell_length_b 5.2322
_cell_length_c 8.8686
_cell_angle_alpha 90.00
_cell_angle_beta 90.00
_cell_angle_gamma 90.00
loop_
_symmetry_equiv_pos_as_xyz
'x,y,z'
'-x,-y,z'
'-x,y,z'
'x,-y,z'
'x+1/2,y+1/2,z+1/2'
'-x+1/2,-y+1/2,z+1/2'
'-x+1/2,y+1/2,z+1/2'
'x+1/2,-y+1/2,z+1/2'
loop_
_atom_site_label
_atom_site_type_symbol
_atom_site_fract_x
_atom_site_fract_y
_atom_site_fract_z
La1 La 0.0000 0.0000 0.0000
Y1 Y 0.0000 0.0000 0.6584
Mo1 Mo 0.0000 0.0000 0.3199
```

Properties
- Crystal system: orthorhombic
- DOS at the Fermi energy: 3.64 states/eV/f.u.
- Calculated formation energy: 52.78 kJ per mole of atoms
- Size of the total moment: 0.000 Bohr magnetons per cell
- Energy: -6.8606 eV per atom

---

Record 4
The following is a GGA-PBE calculation of a relaxed Nd2TlHg9 crystal, from Alexandria via LeMat-Bulk.

Geometry as CIF:
```
data_Nd2TlHg9
_symmetry_space_group_name_H-M 'P 4/m m m'
_symmetry_Int_Tables_number 123
_symmetry_space_group_name_Hall '-P 4 2'
_cell_length_a 4.7383
_cell_length_b 4.7383
_cell_length_c 14.0368
_cell_angle_alpha 90.00
_cell_angle_beta 90.00
_cell_angle_gamma 90.00
loop_
_atom_site_label
_atom_site_type_symbol
_atom_site_fract_x
_atom_site_fract_y
_atom_site_fract_z
Nd1 Nd 0.0000 0.0000 0.1720
Tl1 Tl 0.0000 0.0000 0.5000
Hg1 Hg 0.0000 0.5000 0.0000
Hg2 Hg 0.0000 0.5000 0.3309
Hg3 Hg 0.5000 0.5000 0.1558
Hg4 Hg 0.5000 0.5000 0.5000
```

Properties
- Crystal system: tetragonal
- DOS at the Fermi energy: 8.14 states/eV/f.u.
- Calculated formation energy: -23.51 kJ per mole of atoms
- Size of the total moment: 0.000 Bohr magnetons per cell
- Energy: -1.4619 eV per atom

---

Record 5
The following is a GGA-PBE calculation of a relaxed LaSmThZr crystal, from Alexandria via LeMat-Bulk.

Geometry as CIF:
```
data_LaSmThZr
_symmetry_space_group_name_H-M 'F -4 3 m'
_symmetry_Int_Tables_number 216
_symmetry_space_group_name_Hall 'F -4 2 3'
_cell_length_a 7.8737
_cell_length_b 7.8737
_cell_length_c 7.8737
_cell_angle_alpha 90.00
_cell_angle_beta 90.00
_cell_angle_gamma 90.00
loop_
_atom_site_label
_atom_site_type_symbol
_atom_site_fract_x
_atom_site_fract_y
_atom_site_fract_z
La1 La 0.0000 0.0000 0.0000
Sm1 Sm 0.2500 0.2500 0.7500
Th1 Th 0.0000 0.0000 0.5000
Zr1 Zr 0.2500 0.2500 0.2500
```

Properties
- Crystal system: cubic
- DOS at the Fermi energy: 5.08 states/eV/f.u.
- Calculated formation energy: 18.02 kJ per mole of atoms
- Size of the total moment: 0.000 Bohr magnetons per cell
- Energy: -6.2169 eV per atom

---

Record 6
The following is a GGA-PBE calculation of a relaxed TmFeSn2 crystal, from Alexandria via LeMat-Bulk.

Geometry as CIF:
```
data_TmFeSn2
_symmetry_space_group_name_H-M 'R -3 m'
_symmetry_Int_Tables_number 166
_symmetry_space_group_name_Hall '-R 3 2"'
_cell_length_a 4.3937
_cell_length_b 4.3937
_cell_length_c 15.6067
_cell_angle_alpha 90.00
_cell_angle_beta 90.00
_cell_angle_gamma 120.00
loop_
_atom_site_label
_atom_site_type_symbol
_atom_site_fract_x
_atom_site_fract_y
_atom_site_fract_z
Tm1 Tm 0.0000 0.0000 0.0000
Fe1 Fe 0.0000 0.0000 0.5000
Sn1 Sn 0.0000 0.0000 0.2247
```

Properties
- Crystal system: trigonal
- DOS at the Fermi energy: 3.97 states/eV/f.u.
- Calculated formation energy: -17.10 kJ per mole of atoms
- Size of the total moment: 4.776 Bohr magnetons per cell
- Energy: -5.4122 eV per atom

---

Record 7
The following is a GGA-PBE calculation of a relaxed ScGaAu crystal, from Alexandria via LeMat-Bulk.

Geometry as CIF:
```
data_ScGaAu
_symmetry_space_group_name_H-M 'R 3 m'
_symmetry_Int_Tables_number 160
_symmetry_space_group_name_Hall 'R 3 -2"'
_cell_length_a 3.4914
_cell_length_b 3.4914
_cell_length_c 17.5081
_cell_angle_alpha 90.00
_cell_angle_beta 90.00
_cell_angle_gamma 120.00
loop_
_atom_site_label
_atom_site_type_symbol
_atom_site_fract_x
_atom_site_fract_y
_atom_site_fract_z
Sc1 Sc 0.0000 0.0000 0.0000
Ga1 Ga 0.0000 0.0000 0.2137
Au1 Au 0.0000 0.0000 0.7786
```

Properties
- Crystal system: trigonal
- DOS at the Fermi energy: 2.44 states/eV/f.u.
- Calculated formation energy: -40.04 kJ per mole of atoms
- Size of the total moment: 0.000 Bohr magnetons per cell
- Energy: -4.6269 eV per atom

---

Record 8
The following is a GGA-PBE calculation of a relaxed P4Ir5 crystal, from Alexandria via LeMat-Bulk.

Geometry as CIF:
```
data_P4Ir5
_symmetry_space_group_name_H-M 'P 63/m c m'
_symmetry_Int_Tables_number 193
_symmetry_space_group_name_Hall '-P 6c 2'
_cell_length_a 6.6861
_cell_length_b 6.6861
_cell_length_c 6.8939
_cell_angle_alpha 90.00
_cell_angle_beta 90.00
_cell_angle_gamma 120.00
loop_
_atom_site_label
_atom_site_type_symbol
_atom_site_fract_x
_atom_site_fract_y
_atom_site_fract_z
P1 P 0.0000 0.0000 0.0000
P2 P 0.0000 0.3864 0.2500
Ir1 Ir 0.0000 0.2851 0.7500
Ir2 Ir 0.3333 0.6667 0.0000
```

Properties
- Crystal system: hexagonal
- DOS at the Fermi energy: 6.06 states/eV/f.u.
- Calculated formation energy: 6.64 kJ per mole of atoms
- Size of the total moment: 0.000 Bohr magnetons per cell
- Energy: -7.2583 eV per atom

---

Record 9
The following is a GGA-PBE calculation of a relaxed CdInAs2 crystal, from Alexandria via LeMat-Bulk.

Geometry as CIF:
```
data_CdInAs2
_symmetry_space_group_name_H-M 'C m m 2'
_symmetry_Int_Tables_number 35
_cell_length_a 3.4972
_cell_length_b 5.5128
_cell_length_c 9.7585
_cell_angle_alpha 90.00
_cell_angle_beta 90.00
_cell_angle_gamma 90.00
loop_
_symmetry_equiv_pos_as_xyz
'x,y,z'
'-x,-y,z'
'-x,y,z'
'x,-y,z'
'x+1/2,y+1/2,z'
'-x+1/2,-y+1/2,z'
'-x+1/2,y+1/2,z'
'x+1/2,-y+1/2,z'
loop_
_atom_site_label
_atom_site_type_symbol
_atom_site_fract_x
_atom_site_fract_y
_atom_site_fract_z
Cd1 Cd 0.0000 0.0000 0.0000
In1 In 0.0000 0.5000 0.7227
As1 As 0.0000 0.0000 0.4514
As2 As 0.0000 0.5000 0.2637
```

Properties
- Crystal system: orthorhombic
- DOS at the Fermi energy: 1.48 states/eV/f.u.
- Calculated formation energy: 22.76 kJ per mole of atoms
- Size of the total moment: 0.000 Bohr magnetons per cell
- Energy: -3.0022 eV per atom

---

Record 10
The following is a GGA-PBE calculation of a relaxed Tb6Sm3Tm2 crystal, from Alexandria via LeMat-Bulk.

Geometry as CIF:
```
data_Tb6Sm3Tm2
_symmetry_space_group_name_H-M 'R -3 m'
_symmetry_Int_Tables_number 166
_symmetry_space_group_name_Hall '-R 3 2"'
_cell_length_a 3.5666
_cell_length_b 3.5666
_cell_length_c 95.8061
_cell_angle_alpha 90.00
_cell_angle_beta 90.00
_cell_angle_gamma 120.00
loop_
_atom_site_label
_atom_site_type_symbol
_atom_site_fract_x
_atom_site_fract_y
_atom_site_fract_z
Tb1 Tb 0.0000 0.0000 0.0919
Tb2 Tb 0.0000 0.0000 0.1819
Tb3 Tb 0.0000 0.0000 0.3639
Sm1 Sm 0.0000 0.0000 0.0000
Sm2 Sm 0.0000 0.0000 0.2721
Tm1 Tm 0.0000 0.0000 0.4550
```

Properties
- Crystal system: trigonal
- DOS at the Fermi energy: 14.26 states/eV/f.u.
- Calculated formation energy: 1.68 kJ per mole of atoms
- Size of the total moment: 0.000 Bohr magnetons per cell
- Energy: -4.6082 eV per atom

---

Record 11
The following is a GGA-PBE calculation of a relaxed Si2BiAs2 crystal, from Alexandria via LeMat-Bulk.

Geometry as CIF:
```
data_Si2BiAs2
_symmetry_space_group_name_H-M 'P 4/m m m'
_symmetry_Int_Tables_number 123
_symmetry_space_group_name_Hall '-P 4 2'
_cell_length_a 5.3539
_cell_length_b 5.3539
_cell_length_c 5.3667
_cell_angle_alpha 90.00
_cell_angle_beta 90.00
_cell_angle_gamma 90.00
loop_
_atom_site_label
_atom_site_type_symbol
_atom_site_fract_x
_atom_site_fract_y
_atom_site_fract_z
Si1 Si 0.0000 0.5000 0.0000
Bi1 Bi 0.0000 0.0000 0.0000
As1 As 0.0000 0.0000 0.5000
As2 As 0.5000 0.5000 0.5000
```

Properties
- Crystal system: tetragonal
- DOS at the Fermi energy: 4.22 states/eV/f.u.
- Energy relative to the elements, uncorrected: 1.535 eV/atom
- Size of the total moment: 0.000 Bohr magnetons per cell
- Energy: -3.2705 eV per atom

---

Record 12
The following is a GGA-PBE calculation of a relaxed Ca4Br crystal, from Alexandria via LeMat-Bulk.

Geometry as CIF:
```
data_Ca4Br
_symmetry_space_group_name_H-M 'P m -3 m'
_symmetry_Int_Tables_number 221
_symmetry_space_group_name_Hall '-P 4 2 3'
_cell_length_a 5.8519
_cell_length_b 5.8519
_cell_length_c 5.8519
_cell_angle_alpha 90.00
_cell_angle_beta 90.00
_cell_angle_gamma 90.00
loop_
_atom_site_label
_atom_site_type_symbol
_atom_site_fract_x
_atom_site_fract_y
_atom_site_fract_z
Ca1 Ca 0.0000 0.0000 0.0000
Ca2 Ca 0.0000 0.5000 0.5000
Br1 Br 0.5000 0.5000 0.5000
```

Properties
- Crystal system: cubic
- DOS at the Fermi energy: 6.29 states/eV/f.u.
- Energy relative to the elements, uncorrected: -0.358 eV/atom
- Size of the total moment: 0.148 Bohr magnetons per cell
- Energy: -2.2941 eV per atom